[1]
Density functional theory data (GGA-PBE) for Tl2GeAu6 after structural relaxation.

a = 6.5313 Å, b = 6.5313 Å, c = 6.4435 Å
α = 119.09°, β = 119.09°, γ = 61.21°
With the nearest neighbours (Å) after each atom.
Fractional coordinates of all 9 atoms:
Tl  0.2430  0.2430  0.2456  12 Au 3.24-3.33
Tl  0.7570  0.7570  0.7544  12 Au 3.24-3.33
Ge  0.0000  0.0000  0.5000  6 Au 2.57
Au  0.2771  0.2771  0.7789  1 Ge 2.57
Au  0.2809  0.7171  0.2265  1 Ge 2.57
Au  0.2829  0.7191  0.7735  1 Ge 2.57
Au  0.7171  0.2809  0.2265  1 Ge 2.57
Au  0.7191  0.2829  0.7735  1 Ge 2.57
Au  0.7229  0.7229  0.2211  1 Ge 2.57

Values from the calculation:
Raw total energy, eV/atom: -3.173
Fermi-level density of states, states/eV per cell: 3.6
DFT formation energy, meV/atom: 51

[2]
Density functional theory data (GGA-PBE) for SrIrCS2 after structural relaxation.

a = 4.4730 Å, b = 4.4730 Å, c = 6.2818 Å
α = 90.00°, β = 90.00°, γ = 90.00°
With the nearest neighbours (Å) after each atom.
Fractional coordinates of all 5 atoms:
Sr  0.0000  0.0000  0.0000  2 Ir 3.14, 4 C 3.16
Ir  0.0000  0.0000  0.5000  4 S 2.24
C  0.5000  0.5000  0.0000  4 Sr 3.16
S  0.0000  0.5000  0.5000  2 Ir 2.24
S  0.5000  0.0000  0.5000  2 Ir 2.24

Values from the calculation:
Raw total energy, eV/atom: -4.679
E_form (uncorrected), kJ/mol of formula units: 446
Fermi-level density of states, states/eV per cell: 4.5

[3]
Density functional theory data (GGA-PBE) for TmZnAgCl6 after structural relaxation.

a = 6.5314 Å, b = 6.5314 Å, c = 12.2439 Å
α = 90.00°, β = 90.00°, γ = 120.00°
With the nearest neighbours (Å) after each atom.
Fractional coordinates of all 18 atoms:
Tm  0.3333  0.6667  0.2500  6 Cl 2.61
Tm  0.6667  0.3333  0.7500  6 Cl 2.61
Zn  0.3333  0.6667  0.7500  6 Cl 2.50
Zn  0.6667  0.3333  0.2500  6 Cl 2.50
Ag  0.0000  0.0000  0.0000  6 Cl 2.83
Ag  0.0000  0.0000  0.5000  6 Cl 2.83
Cl  0.0137  0.3612  0.6323  1 Zn 2.50, 1 Tm 2.61
Cl  0.0137  0.6526  0.8677  1 Zn 2.50, 1 Tm 2.61
Cl  0.3474  0.3612  0.8677  1 Zn 2.50, 1 Tm 2.61
Cl  0.3474  0.9863  0.6323  1 Zn 2.50, 1 Tm 2.61
Cl  0.3612  0.0137  0.1323  1 Zn 2.50, 1 Tm 2.61
Cl  0.3612  0.3474  0.3677  1 Zn 2.50, 1 Tm 2.61
Cl  0.6388  0.6526  0.6323  1 Zn 2.50, 1 Tm 2.61
Cl  0.6388  0.9863  0.8677  1 Zn 2.50, 1 Tm 2.61
Cl  0.6526  0.0137  0.3677  1 Zn 2.50, 1 Tm 2.61
Cl  0.6526  0.6388  0.1323  1 Zn 2.50, 1 Tm 2.61
Cl  0.9863  0.3474  0.1323  1 Zn 2.50, 1 Tm 2.61
Cl  0.9863  0.6388  0.3677  1 Zn 2.50, 1 Tm 2.61

Values from the calculation:
Raw total energy, eV/atom: -3.633
E_form (uncorrected), kJ/mol of formula units: -1256
Fermi-level density of states, states/eV per cell: 0.0

[4]
Density functional theory data (GGA-PBE) for ZnAgHRu2 after structural relaxation.

a = 4.9455 Å, b = 4.9455 Å, c = 2.9132 Å
α = 90.00°, β = 90.00°, γ = 90.00°
With the nearest neighbours (Å) after each atom.
Fractional coordinates of all 5 atoms:
Zn  0.0000  0.0000  0.0000  2 H 1.46
Ag  0.5000  0.5000  0.5000  8 Ru 2.87, 2 Ag 2.91
H  0.0000  0.0000  0.5000  2 Zn 1.46
Ru  0.0000  0.5000  0.0000  2 Zn 2.47
Ru  0.5000  0.0000  0.0000  2 Zn 2.47

Values from the calculation:
Raw total energy, eV/atom: -4.107
Fermi-level density of states, states/eV per cell: 4.3